--- A ---
{
  "formula": "AlCuSiP",
  "functional": "PBE-GGA",
  "state": "relaxed",
  "cell": [[-0.502, -2.803, 2.867], [2.027, -2.100, -1.699], [3.949, 2.904, 1.122]],
  "species": ["P", "Si", "Al", "Cu"],
  "frac_coords": [[0.240, 0.000, 0.915], [0.498, 0.500, 0.256], [0.021, 0.000, 0.344], [0.642, 0.000, 0.669]],
  "m_tot_mub_per_cell": 0.00
}

---

--- B ---
{
  "formula": "AlCuSiP",
  "functional": "PBE-GGA",
  "state": "relaxed",
  "cell": [[5.255, 0.000, 0.010], [0.000, 3.692, 0.000], [-2.195, 0.000, 6.753]],
  "species": ["P", "P", "Si", "Si", "Al", "Al", "Cu", "Cu"],
  "frac_coords": [[0.838, 0.000, 0.794], [0.838, 0.500, 0.294], [0.393, 0.000, 0.560], [0.393, 0.500, 0.060], [0.052, 0.000, 0.152], [0.052, 0.500, 0.652], [0.539, 0.000, 0.276], [0.539, 0.500, 0.776]],
  "m_tot_mub_per_cell": 0.00
}

---

In meV/atom, relative to the most stable structure: A 66; B 0.

---

--- A ---
{
  "formula": "AlCuSiP",
  "functional": "PBE-GGA",
  "state": "relaxed",
  "cell": [[-1.667, 3.449, -1.969], [-2.895, -0.245, 2.023], [5.840, 2.728, 8.689]],
  "species": ["P", "P", "Si", "Si", "Al", "Al", "Cu", "Cu"],
  "frac_coords": [[0.107, 0.000, 0.643], [0.107, 0.500, 0.143], [0.386, 0.000, 0.283], [0.386, 0.500, 0.783], [0.030, 0.000, 0.415], [0.030, 0.500, 0.915], [0.720, 0.000, 0.747], [0.720, 0.500, 0.247]],
  "m_tot_mub_per_cell": 0.00
}

---

--- B ---
{
  "formula": "AlCuSiP",
  "functional": "PBE-GGA",
  "state": "relaxed",
  "cell": [[3.444, 0.000, 0.000], [0.000, 3.444, 0.000], [0.000, 0.000, 10.625]],
  "species": ["P", "P", "Si", "Si", "Al", "Al", "Cu", "Cu"],
  "frac_coords": [[0.000, 0.000, 0.637], [0.500, 0.500, 0.137], [0.000, 0.000, 0.413], [0.500, 0.500, 0.913], [0.000, 0.000, 0.090], [0.500, 0.500, 0.590], [0.000, 0.000, 0.858], [0.500, 0.500, 0.358]],
  "m_tot_mub_per_cell": 0.00
}

---

In meV/atom, relative to the most stable structure: A 39; B 0.

---

--- A ---
{
  "formula": "PaAl3Cu",
  "functional": "PBE-GGA",
  "state": "relaxed",
  "cell": [[-0.138, -2.907, 2.993], [3.899, -1.155, -0.943], [3.729, 1.411, 4.452]],
  "species": ["Pa", "Al", "Al", "Al", "Cu"],
  "frac_coords": [[0.395, 0.198, 0.915], [0.644, 0.947, 0.418], [0.144, 0.447, 0.418], [0.800, 0.604, 0.104], [0.025, 0.828, 0.657]],
  "m_tot_mub_per_cell": 0.37
}

---

--- B ---
{
  "formula": "PaAl3Cu",
  "functional": "PBE-GGA",
  "state": "relaxed",
  "cell": [[-4.257, -0.006, -0.365], [2.503, -4.975, -4.093], [-0.524, -2.630, 6.157]],
  "species": ["Pa", "Pa", "Al", "Al", "Al", "Al", "Al", "Al", "Cu", "Cu"],
  "frac_coords": [[0.862, 0.723, 0.014], [0.138, 0.277, 0.986], [0.070, 0.140, 0.392], [0.930, 0.860, 0.608], [0.369, 0.738, 0.337], [0.631, 0.262, 0.663], [0.270, 0.541, 0.664], [0.730, 0.459, 0.336], [0.530, 0.060, 0.196], [0.470, 0.940, 0.804]],
  "m_tot_mub_per_cell": 0.00
}

---

In meV/atom, relative to the most stable structure: A 0; B 87.

---

--- A ---
{
  "formula": "Pa2AlCu",
  "functional": "PBE-GGA",
  "state": "relaxed",
  "cell": [[3.060, 0.000, 0.000], [0.000, 3.060, 0.000], [0.000, 0.000, 8.667]],
  "species": ["Pa", "Pa", "Al", "Cu"],
  "frac_coords": [[0.000, 0.000, 0.760], [0.000, 0.000, 0.240], [0.500, 0.500, 0.500], [0.500, 0.500, 0.000]],
  "m_tot_mub_per_cell": 0.00
}

---

--- B ---
{
  "formula": "Pa2AlCu",
  "functional": "PBE-GGA",
  "state": "relaxed",
  "cell": [[-1.078, 4.150, -1.262], [-2.649, 0.319, 3.311], [3.165, 1.547, 2.382]],
  "species": ["Pa", "Pa", "Al", "Cu"],
  "frac_coords": [[0.000, 0.000, 0.500], [0.000, 0.500, 0.000], [0.500, 0.000, 0.000], [0.500, 0.500, 0.500]],
  "m_tot_mub_per_cell": 0.00
}

---

In meV/atom, relative to the most stable structure: A 0; B 9.

---

--- A ---
{
  "formula": "PaAl2Cu",
  "functional": "PBE-GGA",
  "state": "relaxed",
  "cell": [[-0.360, -2.621, 1.364], [1.117, -2.477, -1.216], [8.273, -0.373, 4.714]],
  "species": ["Pa", "Al", "Al", "Cu"],
  "frac_coords": [[0.500, 0.500, 0.500], [0.737, 0.737, 0.788], [0.263, 0.263, 0.212], [0.000, 0.000, 0.000]],
  "m_tot_mub_per_cell": 0.00
}

---

--- B ---
{
  "formula": "PaAl2Cu",
  "functional": "PBE-GGA",
  "state": "relaxed",
  "cell": [[4.474, 0.000, 0.000], [0.000, 6.375, 0.000], [0.000, 0.000, 10.305]],
  "species": ["Pa", "Pa", "Pa", "Pa", "Al", "Al", "Al", "Al", "Al", "Al", "Al", "Al", "Cu", "Cu", "Cu", "Cu"],
  "frac_coords": [[0.750, 0.730, 0.154], [0.250, 0.770, 0.654], [0.250, 0.270, 0.846], [0.750, 0.230, 0.346], [0.250, 0.054, 0.143], [0.750, 0.756, 0.447], [0.250, 0.244, 0.553], [0.750, 0.446, 0.643], [0.250, 0.744, 0.947], [0.250, 0.554, 0.357], [0.750, 0.946, 0.857], [0.750, 0.256, 0.053], [0.250, 0.937, 0.373], [0.750, 0.063, 0.627], [0.250, 0.437, 0.127], [0.750, 0.563, 0.873]],
  "m_tot_mub_per_cell": 0.00
}

---

In meV/atom, relative to the most stable structure: A 156; B 0.

---

--- A ---
{
  "formula": "PaAl2Cu",
  "functional": "PBE-GGA",
  "state": "relaxed",
  "cell": [[-3.158, 2.150, 2.042], [-2.871, -2.209, -2.115], [-0.009, -2.895, 3.036]],
  "species": ["Pa", "Al", "Al", "Cu"],
  "frac_coords": [[0.500, 0.000, 0.000], [0.000, 0.000, 0.500], [0.000, 0.500, 0.000], [0.500, 0.500, 0.500]],
  "m_tot_mub_per_cell": 0.00
}

---

--- B ---
{
  "formula": "PaAl2Cu",
  "functional": "PBE-GGA",
  "state": "relaxed",
  "cell": [[-3.117, -0.954, -2.649], [3.468, -0.239, -3.995], [-1.232, -3.296, 2.637]],
  "species": ["Pa", "Al", "Al", "Cu"],
  "frac_coords": [[0.500, 0.500, 0.000], [0.000, 0.813, 0.627], [0.000, 0.187, 0.373], [0.500, 0.000, 0.000]],
  "m_tot_mub_per_cell": 0.03
}

---

In meV/atom, relative to the most stable structure: A 0; B 35.

---

--- A ---
{
  "formula": "PaAl2Cu2",
  "functional": "PBE-GGA",
  "state": "relaxed",
  "cell": [[-2.640, -0.588, -3.234], [0.882, -4.122, 0.060], [-2.826, 1.520, 4.654]],
  "species": ["Pa", "Al", "Al", "Cu", "Cu"],
  "frac_coords": [[0.000, 0.000, 0.500], [0.612, 0.612, 0.756], [0.388, 0.388, 0.244], [0.771, 0.229, 0.000], [0.229, 0.771, 0.000]],
  "m_tot_mub_per_cell": 0.00
}

---

--- B ---
{
  "formula": "PaAl2Cu2",
  "functional": "PBE-GGA",
  "state": "relaxed",
  "cell": [[-3.505, 2.225, 0.274], [-1.251, -2.363, 3.188], [4.431, 6.200, 6.335]],
  "species": ["Pa", "Pa", "Al", "Al", "Al", "Al", "Cu", "Cu", "Cu", "Cu"],
  "frac_coords": [[0.500, 0.000, 0.243], [0.000, 0.500, 0.757], [0.500, 0.500, 0.500], [0.000, 0.000, 0.500], [0.000, 0.500, 0.128], [0.500, 0.000, 0.872], [0.000, 0.500, 0.366], [0.500, 0.000, 0.634], [0.500, 0.500, 0.000], [0.000, 0.000, 0.000]],
  "m_tot_mub_per_cell": 0.00
}

---

In meV/atom, relative to the most stable structure: A 47; B 0.